[1]
KCaBr | PBE-GGA | relaxed Values from VASP.

Geometry as Quantum ESPRESSO input:
```
&SYSTEM
  ibrav = 0, nat = 3, ntyp = 3
/
ATOMIC_SPECIES
Br 79.90 Br.upf
Ca 40.08 Ca.upf
K 39.10 K.upf
CELL_PARAMETERS angstrom
-0.031 7.202 4.959
-3.879 6.241 3.881
1.086 -0.957 3.847
ATOMIC_POSITIONS crystal
Br 0.991 0.991 0.009
Ca 0.361 0.361 0.639
K 0.648 0.648 0.352
```

***

[2]
KCa2Br | PBE-GGA | relaxed Values from VASP.

Geometry as Quantum ESPRESSO input:
```
&SYSTEM
  ibrav = 0, nat = 4, ntyp = 3
/
ATOMIC_SPECIES
Ca 40.08 Ca.upf
K 39.10 K.upf
Br 79.90 Br.upf
CELL_PARAMETERS angstrom
7.467 0.002 0.002
3.700 6.486 -0.002
-4.705 -4.756 3.317
ATOMIC_POSITIONS crystal
Ca 0.051 0.051 0.000
K 0.750 0.250 0.500
Ca 0.449 0.449 0.000
Br 0.250 0.750 0.500
```

***

[3]
KCa2Br | PBE-GGA | relaxed Values from VASP.

Geometry as Quantum ESPRESSO input:
```
&SYSTEM
  ibrav = 0, nat = 4, ntyp = 3
/
ATOMIC_SPECIES
Ca 40.08 Ca.upf
Br 79.90 Br.upf
K 39.10 K.upf
CELL_PARAMETERS angstrom
-3.929 0.099 -0.349
0.021 -5.544 -1.813
-0.669 -2.254 6.884
ATOMIC_POSITIONS crystal
Ca 0.000 0.000 0.510
Br 0.500 0.500 0.750
K 0.500 0.500 0.250
Ca 0.000 0.000 0.990
```

***

[4]
KCa3Br7 | PBE-GGA | relaxed Values from VASP.

Geometry as Quantum ESPRESSO input:
```
&SYSTEM
  ibrav = 0, nat = 11, ntyp = 3
/
ATOMIC_SPECIES
K 39.10 K.upf
Br 79.90 Br.upf
Ca 40.08 Ca.upf
CELL_PARAMETERS angstrom
-5.268 2.477 -4.277
2.685 -5.812 -3.770
-4.429 -3.042 4.828
ATOMIC_POSITIONS crystal
K 0.500 0.500 0.500
Br 0.042 0.265 0.629
Br 0.629 0.265 0.042
Ca 0.000 0.500 0.000
Br 0.958 0.735 0.371
Br 0.851 0.772 0.851
Ca 0.226 0.000 0.774
Br 0.149 0.228 0.149
Br 0.500 0.000 0.500
Ca 0.774 0.000 0.226
Br 0.371 0.735 0.958
```

***

[5]
KCa2Br | PBE-GGA | relaxed Values from VASP.

Geometry as Quantum ESPRESSO input:
```
&SYSTEM
  ibrav = 0, nat = 4, ntyp = 3
/
ATOMIC_SPECIES
Ca 40.08 Ca.upf
K 39.10 K.upf
Br 79.90 Br.upf
CELL_PARAMETERS angstrom
-5.550 -4.828 -0.042
1.355 -5.650 -4.512
1.753 3.714 6.103
ATOMIC_POSITIONS crystal
Ca 0.766 0.266 0.500
K 0.451 0.451 0.000
Br 0.231 0.731 0.500
Ca 0.052 0.052 0.000
```

***

[6]
KCa3Br | PBE-GGA | relaxed Values from VASP.

Geometry as Quantum ESPRESSO input:
```
&SYSTEM
  ibrav = 0, nat = 5, ntyp = 3
/
ATOMIC_SPECIES
Ca 40.08 Ca.upf
K 39.10 K.upf
Br 79.90 Br.upf
CELL_PARAMETERS angstrom
-2.348 -6.330 1.577
3.619 -2.658 -5.283
5.428 -0.966 4.205
ATOMIC_POSITIONS crystal
Ca 0.000 0.500 0.000
K 0.000 0.000 0.000
Ca 0.000 0.000 0.500
Br 0.500 0.500 0.500
Ca 0.500 0.000 0.000
```

***

[7]
KCa2Br | PBE-GGA | relaxed Values from VASP.

Geometry as Quantum ESPRESSO input:
```
&SYSTEM
  ibrav = 0, nat = 4, ntyp = 3
/
ATOMIC_SPECIES
Ca 40.08 Ca.upf
K 39.10 K.upf
Br 79.90 Br.upf
CELL_PARAMETERS angstrom
-2.258 -2.141 2.279
2.301 0.765 2.999
-5.782 8.509 2.265
ATOMIC_POSITIONS crystal
Ca 0.000 0.000 0.957
K 0.000 0.000 0.550
Ca 0.500 0.500 0.223
Br 0.500 0.500 0.769
```

***

[8]
KCa2Br | PBE-GGA | relaxed Values from VASP.

Geometry as Quantum ESPRESSO input:
```
&SYSTEM
  ibrav = 0, nat = 4, ntyp = 3
/
ATOMIC_SPECIES
Br 79.90 Br.upf
Ca 40.08 Ca.upf
K 39.10 K.upf
CELL_PARAMETERS angstrom
11.841 -0.012 -0.007
11.165 3.944 -0.007
11.165 1.908 3.451
ATOMIC_POSITIONS crystal
Br 0.750 0.750 0.750
Ca 0.019 0.019 0.019
Ca 0.481 0.481 0.481
K 0.250 0.250 0.250
```

***

[9]
KCa2Br | PBE-GGA | relaxed Values from VASP.

Geometry as Quantum ESPRESSO input:
```
&SYSTEM
  ibrav = 0, nat = 4, ntyp = 3
/
ATOMIC_SPECIES
Ca 40.08 Ca.upf
Br 79.90 Br.upf
K 39.10 K.upf
CELL_PARAMETERS angstrom
-5.393 0.624 -0.594
-0.588 -1.054 4.235
0.314 6.280 3.756
ATOMIC_POSITIONS crystal
Ca 0.000 0.632 0.537
Br 0.500 0.750 0.750
K 0.500 0.250 0.250
Ca 0.000 0.868 0.963
```

***

[10]
KCaLaBr6 | PBE-GGA | relaxed Values from VASP.

Geometry as Quantum ESPRESSO input:
```
&SYSTEM
  ibrav = 0, nat = 18, ntyp = 4
/
ATOMIC_SPECIES
K 39.10 K.upf
Br 79.90 Br.upf
Ca 40.08 Ca.upf
La 138.91 La.upf
CELL_PARAMETERS angstrom
7.648 0.000 0.000
-3.824 6.624 0.000
0.000 0.000 14.245
ATOMIC_POSITIONS crystal
K 0.000 0.000 0.000
Br 0.996 0.632 0.866
Br 0.632 0.996 0.366
Br 0.636 0.004 0.866
Br 0.004 0.368 0.134
Br 0.004 0.636 0.366
K 0.000 0.000 0.500
Ca 0.333 0.667 0.250
Br 0.368 0.364 0.866
Br 0.368 0.004 0.634
La 0.333 0.667 0.750
Br 0.632 0.636 0.134
Br 0.636 0.632 0.634
Ca 0.667 0.333 0.750
Br 0.996 0.364 0.634
La 0.667 0.333 0.250
Br 0.364 0.996 0.134
Br 0.364 0.368 0.366
```

***

[11]
KLiCaBr4 | PBE-GGA | relaxed Values from VASP.

Geometry as Quantum ESPRESSO input:
```
&SYSTEM
  ibrav = 0, nat = 14, ntyp = 4
/
ATOMIC_SPECIES
Br 79.90 Br.upf
K 39.10 K.upf
Ca 40.08 Ca.upf
Li 6.94 Li.upf
CELL_PARAMETERS angstrom
-3.148 -4.384 4.623
5.844 -4.578 -0.361
4.918 5.912 4.653
ATOMIC_POSITIONS crystal
Br 0.006 0.500 0.713
Br 0.006 0.000 0.713
Br 0.994 0.000 0.287
K 0.754 0.750 0.946
Ca 0.787 0.750 0.449
K 0.246 0.250 0.054
Br 0.522 0.250 0.407
Br 0.478 0.750 0.593
Br 0.543 0.250 0.845
Br 0.457 0.750 0.155
Br 0.994 0.500 0.287
Ca 0.213 0.250 0.551
Li 0.754 0.250 0.674
Li 0.246 0.750 0.326
```

***

[12]
K2LiCaBr5 | PBE-GGA | relaxed Values from VASP.

Geometry as Quantum ESPRESSO input:
```
&SYSTEM
  ibrav = 0, nat = 18, ntyp = 4
/
ATOMIC_SPECIES
Br 79.90 Br.upf
Ca 40.08 Ca.upf
Li 6.94 Li.upf
K 39.10 K.upf
CELL_PARAMETERS angstrom
4.366 0.000 0.000
-2.183 9.544 0.000
0.000 0.000 14.299
ATOMIC_POSITIONS crystal
Br 0.643 0.286 0.504
Ca 0.208 0.417 0.028
Ca 0.792 0.583 0.528
Br 0.306 0.611 0.390
Li 0.440 0.880 0.434
K 0.097 0.195 0.667
K 0.903 0.805 0.167
Li 0.560 0.120 0.934
Br 0.055 0.111 0.029
Br 0.945 0.889 0.529
Br 0.500 0.000 0.281
K 0.127 0.255 0.324
Br 0.284 0.568 0.667
K 0.873 0.745 0.824
Br 0.694 0.389 0.890
Br 0.357 0.714 0.004
Br 0.500 0.000 0.781
Br 0.716 0.432 0.167
```

***

no.,raw total energy (eV per cell)
1,-7.427
2,-9.206
3,-7.828
4,-40.154
5,-8.831
6,-6.068
7,-9.368
8,-9.103
9,-8.481
10,-71.556
11,-48.323
12,-61.448